1.
Below is a relaxed structure of Ho2GaPb, with properties calculated at the GGA-PBE level.

```
Ho2GaPb
1.0
6.054 0.000 0.000
0.000 4.176 0.000
-2.672 0.000 8.290
Ho Ga Pb
4 2 2
Direct
0.190 0.250 0.425 Ho
0.273 0.750 0.060 Ho
0.727 0.250 0.940 Ho
0.810 0.750 0.575 Ho
0.114 0.250 0.792 Ga
0.886 0.750 0.208 Ga
0.386 0.750 0.710 Pb
0.614 0.250 0.290 Pb
```

Summary:
Uncorrected energy   -4.518 eV/atom

2.
Below is a relaxed structure of ScSi2W, with properties calculated at the GGA-PBE level.

```
ScSi2W
1.0
6.292 0.000 0.000
0.000 6.292 0.000
0.000 0.000 6.292
Sc Si W
4 8 4
Direct
0.000 0.000 0.000 Sc
0.000 0.500 0.500 Sc
0.500 0.000 0.500 Sc
0.500 0.500 0.000 Sc
0.250 0.250 0.250 Si
0.250 0.250 0.750 Si
0.250 0.750 0.250 Si
0.250 0.750 0.750 Si
0.750 0.250 0.250 Si
0.750 0.250 0.750 Si
0.750 0.750 0.250 Si
0.750 0.750 0.750 Si
0.000 0.000 0.500 W
0.000 0.500 0.000 W
0.500 0.000 0.000 W
0.500 0.500 0.500 W
```

Summary:
Formation energy without anion corrections   -0.125 eV/atom

3.
Below is a relaxed structure of Tb8Dy2Er, with properties calculated at the GGA-PBE level.

```
Tb8Dy2Er
1.0
8.819 -3.573 0.000
8.819 3.573 0.000
-1.913 0.000 5.657
Tb Dy Er
8 2 1
Direct
0.009 0.009 0.247 Tb
0.154 0.596 0.357 Tb
0.298 0.298 0.778 Tb
0.404 0.846 0.643 Tb
0.596 0.154 0.357 Tb
0.702 0.702 0.222 Tb
0.846 0.404 0.643 Tb
0.991 0.991 0.753 Tb
0.191 0.191 0.175 Dy
0.809 0.809 0.825 Dy
0.500 0.500 0.000 Er
```

Summary:
Uncorrected energy   -4.450 eV/atom

Calculated volume values, unit Å³/atom, following the record order: 26.20, 15.57, 32.41.